This record from the Alexandria database describes an optimized crystal structure of CeNpNiO6. The functional is PBE+U.

## Properties
Uncorrected energy ... -8.264 eV per atom
ρ ... 7.17 Mg/m³

abc: 5.3165 5.3165 10.0614
angles: 90.00 90.00 120.00
Space group P-31c (No. 163)
Symmetry-distinct sites (fractional):
Ce 0.0000 0.0000 0.0000 x2
Np 0.3333 0.6667 0.2500 x2
Ni 0.3333 0.6667 0.7500 x2
O 0.0036 0.3472 0.1361 x12